Computed, not measured: crystalline KBiPdS3 at its relaxed geometry at the PBE level of DFT.

Space-group type   No. 11
ρ   4.48 g cm⁻³
Electronic total energy   -4.29 eV per atom

Lattice parameters (Å, degrees): 8.814 4.167 9.320 90.00 102.33 90.00
Element x y z (fractional)
Bi 0.159 0.750 0.640
Bi 0.841 0.250 0.360
Pd 0.584 0.750 0.077
Pd 0.416 0.250 0.923
S 0.071 0.750 0.351
S 0.311 0.750 0.975
S 0.629 0.750 0.356
S 0.929 0.250 0.649
S 0.371 0.250 0.644
S 0.689 0.250 0.025
K 0.672 0.750 0.718
K 0.328 0.250 0.282